A plane-wave DFT calculation with PBE+U was carried out for a relaxed structure of TlCoGeO4.

abc: 5.875 6.384 6.384
angles: 73.00 62.60 62.60
Fractional positions:
Tl1 0.000 0.000 0.000
Tl2 0.000 0.500 0.500
Co1 0.500 0.000 0.500
Co2 0.000 0.000 0.500
Ge1 0.624 0.626 0.126
Ge2 0.376 0.374 0.874
O1 0.755 0.827 0.663
O2 0.245 0.837 0.673
O3 0.755 0.163 0.327
O4 0.245 0.173 0.337
O5 0.241 0.769 0.269
O6 0.720 0.769 0.269
O7 0.280 0.231 0.731
O8 0.759 0.231 0.731

* total energy: -5.43 eV/atom